(1)
First-principles (GGA-PBE) data for crystalline KCoRu2 at its relaxed geometry, as listed in Alexandria.

Geometry as CIF:
```
data_KCoRu2
_chemical_formula_sum 'K4 Co4 Ru8'
_space_group_name_H-M_alt 'I -4 2 d'
_space_group_IT_number 122
_space_group_name_Hall 'I -4 2bw'
_cell_length_a 4.822
_cell_length_b 4.822
_cell_length_c 16.663
_cell_angle_alpha 90.00
_cell_angle_beta 90.00
_cell_angle_gamma 90.00
loop_
_atom_site_label
_atom_site_type_symbol
_atom_site_fract_x
_atom_site_fract_y
_atom_site_fract_z
K1 K 0.000 0.000 0.000
Co1 Co 0.000 0.000 0.500
Ru1 Ru 0.011 0.250 0.625
```

Results
ΔE_f ... 1353 meV/atom
Total DFT energy (no corrections) ... -0.3922 Ry per atom
Energy above the lowest structure with this stoichiometry ... 0.6343 eV per atom

=====

(2)
First-principles (GGA-PBE) data for crystalline KCoRu2 at its relaxed geometry, as listed in Alexandria.

Geometry as CIF:
```
data_KCoRu2
_chemical_formula_sum 'K2 Co2 Ru4'
_space_group_name_H-M_alt 'C 1 m 1'
_space_group_IT_number 8
_cell_length_a 8.605
_cell_length_b 2.745
_cell_length_c 6.858
_cell_angle_alpha 90.00
_cell_angle_beta 95.01
_cell_angle_gamma 90.00
loop_
_space_group_symop_operation_xyz
'x,y,z'
'x,-y,z'
'x+1/2,y+1/2,z'
'x+1/2,-y+1/2,z'
loop_
_atom_site_label
_atom_site_type_symbol
_atom_site_fract_x
_atom_site_fract_y
_atom_site_fract_z
K1 K 0.000 0.000 0.000
Co1 Co 0.270 0.500 0.347
Ru1 Ru 0.229 0.000 0.632
Ru2 Ru 0.493 0.000 0.500
```

Results
ΔE_f ... 802 meV/atom
Total DFT energy (no corrections) ... -0.4327 Ry per atom
Energy above the lowest structure with this stoichiometry ... 0.0836 eV per atom

=====

(3)
First-principles (GGA-PBE) data for crystalline KCoRu at its relaxed geometry, as listed in Alexandria.

Geometry as CIF:
```
data_KCoRu
_chemical_formula_sum 'K2 Co2 Ru2'
_space_group_name_H-M_alt 'P 1'
_space_group_IT_number 1
_cell_length_a 4.112
_cell_length_b 4.289
_cell_length_c 8.818
_cell_angle_alpha 87.57
_cell_angle_beta 89.97
_cell_angle_gamma 89.99
loop_
_space_group_symop_operation_xyz
'x,y,z'
loop_
_atom_site_label
_atom_site_type_symbol
_atom_site_fract_x
_atom_site_fract_y
_atom_site_fract_z
K1 K 0.000 0.000 0.000
K2 K 0.499 0.527 0.639
Co1 Co 0.499 0.421 0.208
Co2 Co 0.499 0.949 0.315
Ru1 Ru 0.999 0.069 0.436
Ru2 Ru 0.999 0.558 0.312
```

Results
ΔE_f ... 652 meV/atom
Total DFT energy (no corrections) ... -0.3803 Ry per atom
Energy above the lowest structure with this stoichiometry ... 0.0622 eV per atom

=====

(4)
First-principles (GGA-PBE) data for crystalline KCoRu4 at its relaxed geometry, as listed in Alexandria.

Geometry as CIF:
```
data_KCoRu4
_chemical_formula_sum 'K4 Co4 Ru16'
_space_group_name_H-M_alt 'F -4 3 m'
_space_group_IT_number 216
_space_group_name_Hall 'F -4 2 3'
_cell_length_a 7.413
_cell_length_b 7.413
_cell_length_c 7.413
_cell_angle_alpha 90.00
_cell_angle_beta 90.00
_cell_angle_gamma 90.00
loop_
_atom_site_label
_atom_site_type_symbol
_atom_site_fract_x
_atom_site_fract_y
_atom_site_fract_z
K1 K 0.000 0.000 0.000
Co1 Co 0.250 0.250 0.250
Ru1 Ru 0.124 0.124 0.624
```

Results
ΔE_f ... 1107 meV/atom
Total DFT energy (no corrections) ... -0.4736 Ry per atom

=====

(5)
First-principles (GGA-PBE) data for crystalline KCoRu at its relaxed geometry, as listed in Alexandria.

Geometry as CIF:
```
data_KCoRu
_chemical_formula_sum 'K2 Co2 Ru2'
_space_group_name_H-M_alt 'P 1 m 1'
_space_group_IT_number 6
_cell_length_a 2.788
_cell_length_b 4.080
_cell_length_c 12.179
_cell_angle_alpha 90.00
_cell_angle_beta 93.63
_cell_angle_gamma 90.00
loop_
_space_group_symop_operation_xyz
'x,y,z'
'x,-y,z'
loop_
_atom_site_label
_atom_site_type_symbol
_atom_site_fract_x
_atom_site_fract_y
_atom_site_fract_z
K1 K 0.000 0.000 0.000
K2 K 0.048 0.500 0.648
Co1 Co 0.441 0.500 0.215
Co2 Co 0.987 0.500 0.386
Ru1 Ru 0.496 0.000 0.437
Ru2 Ru 0.944 0.000 0.258
```

Results
ΔE_f ... 592 meV/atom
Total DFT energy (no corrections) ... -0.3847 Ry per atom
Energy above the lowest structure with this stoichiometry ... 0.0026 eV per atom

=====

(6)
First-principles (GGA-PBE) data for crystalline KTiCo2Ru at its relaxed geometry, as listed in Alexandria.

Geometry as CIF:
```
data_KTiCo2Ru
_chemical_formula_sum 'K1 Ti1 Co2 Ru1'
_space_group_name_H-M_alt 'P 4/m m m'
_space_group_IT_number 123
_space_group_name_Hall '-P 4 2'
_cell_length_a 4.200
_cell_length_b 4.200
_cell_length_c 4.492
_cell_angle_alpha 90.00
_cell_angle_beta 90.00
_cell_angle_gamma 90.00
loop_
_atom_site_label
_atom_site_type_symbol
_atom_site_fract_x
_atom_site_fract_y
_atom_site_fract_z
K1 K 0.000 0.000 0.000
Ti1 Ti 0.000 0.000 0.500
Co1 Co 0.000 0.500 0.000
Ru1 Ru 0.500 0.500 0.500
```

Results
ΔE_f ... 2317 meV/atom
Total DFT energy (no corrections) ... -0.3071 Ry per atom

=====

(7)
First-principles (GGA-PBE) data for crystalline K2CoRuW at its relaxed geometry, as listed in Alexandria.

Geometry as CIF:
```
data_K2CoRuW
_chemical_formula_sum 'K2 Co1 Ru1 W1'
_space_group_name_H-M_alt 'P 4/m m m'
_space_group_IT_number 123
_space_group_name_Hall '-P 4 2'
_cell_length_a 6.107
_cell_length_b 6.107
_cell_length_c 4.306
_cell_angle_alpha 90.00
_cell_angle_beta 90.00
_cell_angle_gamma 90.00
loop_
_atom_site_label
_atom_site_type_symbol
_atom_site_fract_x
_atom_site_fract_y
_atom_site_fract_z
K1 K 0.000 0.500 0.000
Co1 Co 0.000 0.000 0.000
Ru1 Ru 0.000 0.000 0.500
W1 W 0.500 0.500 0.500
```

Results
ΔE_f ... 2205 meV/atom
Total DFT energy (no corrections) ... -0.3014 Ry per atom

=====

(8)
First-principles (GGA-PBE) data for crystalline KCoRu2W at its relaxed geometry, as listed in Alexandria.

Geometry as CIF:
```
data_KCoRu2W
_chemical_formula_sum 'K1 Co1 Ru2 W1'
_space_group_name_H-M_alt 'P 4/m m m'
_space_group_IT_number 123
_space_group_name_Hall '-P 4 2'
_cell_length_a 4.392
_cell_length_b 4.392
_cell_length_c 4.548
_cell_angle_alpha 90.00
_cell_angle_beta 90.00
_cell_angle_gamma 90.00
loop_
_atom_site_label
_atom_site_type_symbol
_atom_site_fract_x
_atom_site_fract_y
_atom_site_fract_z
K1 K 0.000 0.000 0.000
Co1 Co 0.500 0.500 0.500
Ru1 Ru 0.000 0.500 0.000
W1 W 0.000 0.000 0.500
```

Results
ΔE_f ... 3455 meV/atom
Total DFT energy (no corrections) ... -0.3298 Ry per atom

=====

(9)
First-principles (GGA-PBE) data for crystalline K2Co4S at its relaxed geometry, as listed in Alexandria.

Geometry as CIF:
```
data_K2Co4S
_chemical_formula_sum 'K4 Co8 S2'
_space_group_name_H-M_alt 'I 4/m m m'
_space_group_IT_number 139
_space_group_name_Hall '-I 4 2'
_cell_length_a 4.267
_cell_length_b 4.267
_cell_length_c 18.185
_cell_angle_alpha 90.00
_cell_angle_beta 90.00
_cell_angle_gamma 90.00
loop_
_atom_site_label
_atom_site_type_symbol
_atom_site_fract_x
_atom_site_fract_y
_atom_site_fract_z
K1 K 0.000 0.000 0.167
Co1 Co 0.000 0.000 0.389
Co2 Co 0.000 0.500 0.000
S1 S 0.000 0.000 0.500
```

Results
Total DFT energy (no corrections) ... -0.3084 Ry per atom
ΔE_f (raw) ... 0.77 eV/atom

=====

(10)
First-principles (GGA-PBE) data for crystalline K3CoS3 at its relaxed geometry, as listed in Alexandria.

Geometry as CIF:
```
data_K3CoS3
_chemical_formula_sum 'K24 Co8 S24'
_space_group_name_H-M_alt 'C m c e'
_space_group_IT_number 64
_space_group_name_Hall '-C 2ac 2'
_cell_length_a 18.614
_cell_length_b 6.727
_cell_length_c 12.618
_cell_angle_alpha 90.00
_cell_angle_beta 90.00
_cell_angle_gamma 90.00
loop_
_atom_site_label
_atom_site_type_symbol
_atom_site_fract_x
_atom_site_fract_y
_atom_site_fract_z
K1 K 0.000 0.149 0.164
K2 K 0.177 0.168 0.870
Co1 Co 0.080 0.000 0.500
S1 S 0.000 0.202 0.416
S2 S 0.150 0.165 0.613
```

Results
Total DFT energy (no corrections) ... -0.3012 Ry per atom
ΔE_f (raw) ... -0.84 eV/atom

=====

(11)
First-principles (GGA-PBE) data for crystalline K3CoS4 at its relaxed geometry, as listed in Alexandria.

Geometry as CIF:
```
data_K3CoS4
_chemical_formula_sum 'K6 Co2 S8'
_space_group_name_H-M_alt 'I 4/m m m'
_space_group_IT_number 139
_space_group_name_Hall '-I 4 2'
_cell_length_a 7.442
_cell_length_b 7.442
_cell_length_c 8.409
_cell_angle_alpha 90.00
_cell_angle_beta 90.00
_cell_angle_gamma 90.00
loop_
_atom_site_label
_atom_site_type_symbol
_atom_site_fract_x
_atom_site_fract_y
_atom_site_fract_z
K1 K 0.000 0.000 0.000
K2 K 0.000 0.500 0.250
Co1 Co 0.000 0.000 0.500
S1 S 0.205 0.205 0.500
```

Results
Total DFT energy (no corrections) ... -0.2902 Ry per atom
ΔE_f (raw) ... -0.59 eV/atom

=====

(12)
First-principles (GGA-PBE) data for crystalline KCo5S8 at its relaxed geometry, as listed in Alexandria.

Geometry as CIF:
```
data_KCo5S8
_chemical_formula_sum 'K2 Co10 S16'
_space_group_name_H-M_alt 'C 1 m 1'
_space_group_IT_number 8
_cell_length_a 17.384
_cell_length_b 3.368
_cell_length_c 8.141
_cell_angle_alpha 90.00
_cell_angle_beta 106.74
_cell_angle_gamma 90.00
loop_
_space_group_symop_operation_xyz
'x,y,z'
'x,-y,z'
'x+1/2,y+1/2,z'
'x+1/2,-y+1/2,z'
loop_
_atom_site_label
_atom_site_type_symbol
_atom_site_fract_x
_atom_site_fract_y
_atom_site_fract_z
K1 K 0.000 0.000 0.000
Co1 Co 0.000 0.500 0.500
Co2 Co 0.158 0.000 0.472
Co3 Co 0.202 0.000 0.824
Co4 Co 0.297 0.500 0.176
Co5 Co 0.341 0.500 0.528
S1 S 0.077 0.000 0.634
S2 S 0.085 0.500 0.334
S3 S 0.177 0.500 0.981
S4 S 0.238 0.500 0.653
S5 S 0.261 0.000 0.348
S6 S 0.322 0.000 0.020
S7 S 0.414 0.000 0.667
S8 S 0.422 0.500 0.367
```

Results
Total DFT energy (no corrections) ... -0.4011 Ry per atom
ΔE_f (raw) ... -0.48 eV/atom